Compound: PmSc5Ag6
Source: Alexandria via LeMat-Bulk
Functional: GGA-PBE
Structure: optimized geometry

The structure in extended XYZ format:
```
12
Lattice="4.751 0.024 -1.379 -0.951 6.087 -3.170 -0.073 0.492 8.540" Properties=species:S:1:pos:R:3 pbc="T T T"
Sc 2.979 1.186 1.385
Sc 1.214 2.353 4.156
Sc -0.475 3.044 -1.585
Sc 2.513 4.250 -0.164
Sc 0.747 5.418 2.607
Ag 3.344 3.781 2.647
Ag 3.798 0.879 4.158
Ag 1.685 4.437 -2.994
Ag 2.042 2.167 6.985
Ag -0.071 5.725 -0.167
Ag 0.383 2.823 1.344
Pm 0.000 0.000 0.000
```

## Properties
Density of states at the Fermi level, states/eV/atom: 0.743
Formation energy, eV per atom: -0.254

Compound: KCl
Source: Alexandria via LeMat-Bulk
Functional: GGA-PBE
Structure: optimized geometry

The structure in extended XYZ format:
```
4
Lattice="-3.454 7.085 2.062 -6.696 2.246 4.062 6.712 -4.597 -0.455" Properties=species:S:1:pos:R:3 pbc="T T T"
K -5.134 4.720 3.098
K -2.470 1.103 3.299
Cl -0.052 0.048 0.031
Cl -0.856 3.529 2.303
```

## Properties
Formation energy from raw total energies, eV/atom: -1.817
Density of states at the Fermi level, states/eV/atom: 0.000

Compound: Co2Ni2Sb7
Source: Alexandria via LeMat-Bulk
Functional: GGA-PBE
Structure: optimized geometry

The structure in extended XYZ format:
```
11
Lattice="5.430 0.025 0.103 0.097 6.199 3.890 0.058 0.485 7.303" Properties=species:S:1:pos:R:3 pbc="T T T"
Co 5.503 4.973 8.389
Co 0.082 1.736 2.907
Ni 2.804 4.976 4.679
Ni 2.782 1.733 6.617
Sb 1.755 5.985 6.742
Sb 3.850 3.628 2.819
Sb 3.830 0.724 4.554
Sb 1.735 3.081 8.476
Sb 0.000 0.000 0.000
Sb 4.354 3.835 6.471
Sb 1.231 2.873 4.825
```

## Properties
Formation energy from raw total energies, eV/atom: 0.045
Density of states at the Fermi level, states/eV/atom: 0.645

Compound: Pm2HfAg
Source: Alexandria via LeMat-Bulk
Functional: GGA-PBE
Structure: optimized geometry

The structure in extended XYZ format:
```
4
Lattice="-2.298 1.415 1.807 -3.022 0.293 -1.153 -4.528 -9.772 4.812" Properties=species:S:1:pos:R:3 pbc="T T T"
Hf 0.000 0.000 0.000
Ag -4.924 -4.032 2.733
Pm -3.774 -6.943 3.556
Pm -6.073 -1.122 1.911
```

## Properties
Polymorph energy (0 for the lowest one), meV/atom: 382
Density of states at the Fermi level, states/eV/atom: 1.107
Formation energy, eV per atom: 0.357

Raw total energy values, unit eV/cell, following the record order: -56.56; -13.16; -54.14; -20.88.